{
  "formula": "ZrCoO",
  "functional": "GGA+U",
  "state": "relaxed",
  "lattice": [[4.204, 0.000, 0.000], [0.000, 10.614, 0.000], [0.000, 0.000, 3.273]],
  "species": ["Zr", "Zr", "Zr", "Zr", "Co", "Co", "Co", "Co", "O", "O", "O", "O"],
  "frac_coords": [[0.000, 0.365, 0.250], [0.000, 0.635, 0.750], [0.500, 0.865, 0.250], [0.500, 0.135, 0.750], [0.000, 0.072, 0.250], [0.000, 0.928, 0.750], [0.500, 0.572, 0.250], [0.500, 0.428, 0.750], [0.000, 0.797, 0.250], [0.000, 0.203, 0.750], [0.500, 0.297, 0.250], [0.500, 0.703, 0.750]],
  "magmom_total_mub_per_fu": 0.00,
  "e_above_lowest_polymorph_kj_per_mol_fu": 97,
  "sg": "No. 63",
  "total_energy_ha_per_atom": -0.269,
  "dos_at_fermi_per_ev_cell": 8.18
}